Record 1
A plane-wave DFT calculation with PBE was carried out for a relaxed CsIrS2Cl crystal.

```
CsIrS2Cl
1.0
5.438 0.000 0.000
0.000 5.438 0.000
0.000 0.000 6.089
Cs Ir S Cl
1 1 2 1
Cartesian
0.000 0.000 0.000
2.719 2.719 3.044
0.000 2.719 0.000
2.719 0.000 0.000
0.000 0.000 3.044
```

## Properties
The energy relative to the elements, uncorrected is 1.88 eV per atom. The distance to the lowest polymorph of the same formula comes out at 2224.3 meV/atom. Its calculated total energy is -10.41 eV for the cell shown. As for the density of states at the Fermi level: 8.335 states/eV/f.u.



Record 2
A plane-wave DFT calculation with PBE was carried out for a relaxed CsIrSCl2 crystal.

```
CsIrSCl2
1.0
6.352 0.000 0.000
0.000 6.352 0.000
0.000 0.000 5.631
Cs Ir S Cl
1 1 1 2
Cartesian
0.000 0.000 0.000
3.176 3.176 2.815
0.000 0.000 2.815
0.000 3.176 0.000
3.176 0.000 0.000
```

## Properties
The energy relative to the elements, uncorrected is 1.42 eV per atom. The distance to the lowest polymorph of the same formula comes out at 2046.5 meV/atom. Its calculated total energy is -10.43 eV for the cell shown. As for the density of states at the Fermi level: 9.500 states/eV/f.u.



Record 3
A plane-wave DFT calculation with PBE was carried out for a relaxed Cs2ScIrCl6 crystal.

```
Cs2ScIrCl6
1.0
-3.672 3.672 5.092
3.672 -3.672 5.092
3.672 3.672 -5.092
Cs Sc Ir Cl
2 1 1 6
Cartesian
3.672 0.000 2.546
0.000 3.672 2.546
0.000 0.000 0.000
0.000 0.000 5.092
1.793 1.793 0.000
1.879 -1.879 5.092
0.000 0.000 2.542
0.000 0.000 7.643
-1.879 1.879 5.092
1.879 1.879 5.092
```

## Properties
The energy relative to the elements, uncorrected is -1.39 eV per atom. Its calculated total energy is -41.85 eV for the cell shown. As for the density of states at the Fermi level: 0.000 states/eV/f.u.



The highest energy relative to the elements, uncorrected belongs to which entry? CsIrS2Cl



Which value of calculated total energy does entry 3 give? -41.85 eV for the cell shown



Which of these has the highest energy relative to the elements, uncorrected? CsIrS2Cl